Entry 1:
## Pm3Tm2Cd (PBE)

Data for crystalline Pm3Tm2Cd at its relaxed geometry.

a = 3.6178 Å, b = 3.6178 Å, c = 14.1668 Å
α = 90.00°, β = 90.00°, γ = 90.00°
Atoms (fractional coordinates):
Pm1 0.0000 0.0000 0.0000
Tm1 0.5000 0.5000 0.1740
Cd1 0.5000 0.5000 0.5000
Pm2 0.0000 0.0000 0.3498
Pm3 0.0000 0.0000 0.6502
Tm2 0.5000 0.5000 0.8260

Results
Total energy in eV per atom: -4.10
Spin magnetization in μB/atom: 0.000
SG: P4/mmm (123)

Entry 2:
## PmUCd (PBE)

Data for crystalline PmUCd at its relaxed geometry.

a = 3.6400 Å, b = 5.3925 Å, c = 8.4042 Å
α = 91.73°, β = 102.51°, γ = 90.00°
Each line ends with the local moment (μB).
Atoms (fractional coordinates):
Cd1 0.5788 0.8153 0.1576  0.00
Pm1 0.0885 0.3107 0.1770  -0.01
U1 0.2430 0.8377 0.4861  1.26
U2 0.7570 0.1623 0.5139  1.26
Cd2 0.4212 0.1847 0.8424  0.00
Pm2 0.9115 0.6893 0.8230  -0.01

Results
Total energy in eV per atom: -5.60
Spin magnetization in μB/atom: 0.449
SG: C2/m (12)

Entry 3:
## Pm2VCd (PBE)

Data for crystalline Pm2VCd at its relaxed geometry.

a = 3.2996 Å, b = 3.2996 Å, c = 11.4848 Å
α = 81.74°, β = 81.74°, γ = 60.00°
Each line ends with the local moment (μB).
Atoms (fractional coordinates):
Cd1 0.5000 0.5000 0.5000  0.00
Pm1 0.9165 0.9165 0.2504  -0.02
Pm2 0.0835 0.0835 0.7496  -0.02
V1 0.0000 0.0000 0.0000  2.51

Results
Total energy in eV per atom: -4.32
Spin magnetization in μB/atom: 0.712
SG: R-3m (166)

Entry 4:
## Pm4YCd (PBE)

Data for crystalline Pm4YCd at its relaxed geometry.

a = 5.6772 Å, b = 6.5495 Å, c = 10.8790 Å
α = 90.00°, β = 105.13°, γ = 90.00°
Atoms (fractional coordinates):
Cd1 0.6062 0.9607 0.2123
Pm1 0.2485 0.6044 0.4969
Pm2 0.5402 0.3910 0.0804
Pm3 0.9392 0.2103 0.8785
Pm4 0.6844 0.5618 0.3688
Pm5 0.0608 0.7103 0.1215
Pm6 0.4598 0.8910 0.9196
Cd2 0.3938 0.4607 0.7877
Pm7 0.7515 0.1044 0.5031
Pm8 0.3156 0.0618 0.6312
Y1 0.1352 0.2052 0.2705
Y2 0.8648 0.7052 0.7295

Results
Total energy in eV per atom: -4.37
Spin magnetization in μB/atom: 0.000
Excess energy over the best structure of this formula in the dataset in meV/atom: 125
SG: Cmc2_1 (36)

Entry 5:
## PmY3Cd (PBE)

Data for crystalline PmY3Cd at its relaxed geometry.

a = 5.2514 Å, b = 8.7154 Å, c = 6.9960 Å
α = 90.00°, β = 90.00°, γ = 107.53°
Atoms (fractional coordinates):
Y1 0.1110 0.7217 0.9956
Cd1 0.6999 0.8997 0.2500
Y2 0.8890 0.2783 0.4956
Y3 0.2940 0.0881 0.2500
Y4 0.1110 0.7217 0.5044
Cd2 0.3001 0.1003 0.7500
Y5 0.7060 0.9119 0.7500
Pm1 0.4930 0.4861 0.7500
Y6 0.8890 0.2783 0.0044
Pm2 0.5070 0.5139 0.2500

Results
Total energy in eV per atom: -5.10
Spin magnetization in μB/atom: 0.000
Excess energy over the best structure of this formula in the dataset in meV/atom: 24
SG: Cmcm (63)

Entry 6:
## PmY4Cd (PBE)

Data for crystalline PmY4Cd at its relaxed geometry.

a = 6.0968 Å, b = 6.0968 Å, c = 11.8008 Å
α = 104.15°, β = 104.15°, γ = 60.48°
Atoms (fractional coordinates):
Y1 0.4158 0.2518 0.2493
Pm1 0.0000 0.5000 0.0000
Y2 0.5842 0.7482 0.7507
Y3 0.2518 0.4158 0.7493
Y4 0.6758 0.1636 0.9981
Y5 0.7482 0.5842 0.2507
Pm2 0.5000 0.0000 0.5000
Y6 0.8364 0.3242 0.5019
Y7 0.3242 0.8364 0.0019
Cd1 0.0769 0.9231 0.2500
Cd2 0.9231 0.0769 0.7500
Y8 0.1636 0.6758 0.4981

Results
Total energy in eV per atom: -5.28
Spin magnetization in μB/atom: 0.000
Excess energy over the best structure of this formula in the dataset in meV/atom: 76
SG: C2/c (15)

Entry 7:
## Pm2YCd3 (PBE)

Data for crystalline Pm2YCd3 at its relaxed geometry.

a = 3.8001 Å, b = 3.8001 Å, c = 11.4507 Å
α = 90.00°, β = 90.00°, γ = 90.00°
Each line ends with the local moment (μB).
Atoms (fractional coordinates):
Cd1 0.0000 0.0000 0.6587  0.01
Cd2 0.0000 0.0000 0.3413  0.01
Cd3 0.0000 0.0000 0.0000  0.02
Y1 0.5000 0.5000 0.5000  0.10
Pm1 0.5000 0.5000 0.8309  0.19
Pm2 0.5000 0.5000 0.1691  0.19

Results
Total energy in eV per atom: -3.45
Spin magnetization in μB/atom: 0.170
SG: P4/mmm (123)

Entry 8:
## Pm4Y3Cd (PBE)

Data for crystalline Pm4Y3Cd at its relaxed geometry.

a = 3.6450 Å, b = 3.6450 Å, c = 19.3769 Å
α = 90.00°, β = 90.00°, γ = 90.00°
Atoms (fractional coordinates):
Y1 0.5000 0.5000 0.5000
Y2 0.5000 0.5000 0.2396
Cd1 0.5000 0.5000 0.0000
Pm1 0.0000 0.0000 0.3701
Pm2 0.0000 0.0000 0.8914
Y3 0.5000 0.5000 0.7604
Pm3 0.0000 0.0000 0.1086
Pm4 0.0000 0.0000 0.6299

Results
Total energy in eV per atom: -4.98
Spin magnetization in μB/atom: 0.000
SG: P4/mmm (123)

Entry 9:
## Pm2Y4Cd (PBE)

Data for crystalline Pm2Y4Cd at its relaxed geometry.

a = 3.6118 Å, b = 8.2421 Å, c = 8.9018 Å
α = 118.81°, β = 101.70°, γ = 90.00°
Atoms (fractional coordinates):
Pm1 0.2131 0.2971 0.4261
Cd1 0.0000 0.0000 0.0000
Pm2 0.7869 0.7029 0.5739
Y1 0.1432 0.8189 0.2864
Y2 0.4410 0.6183 0.8821
Y3 0.8568 0.1811 0.7136
Y4 0.5590 0.3817 0.1179

Results
Total energy in eV per atom: -5.19
Spin magnetization in μB/atom: 0.000
SG: C2/m (12)

Entry 10:
## PmY3Cd4 (PBE)

Data for crystalline PmY3Cd4 at its relaxed geometry.

a = 5.3098 Å, b = 7.6182 Å, c = 10.6207 Å
α = 90.00°, β = 90.00°, γ = 90.00°
Each line ends with the local moment (μB).
Atoms (fractional coordinates):
Cd1 0.5000 0.2445 0.5000  0.00
Cd2 0.0000 0.2444 0.7500  0.00
Cd3 0.0000 0.7556 0.7500  0.00
Pm1 0.0000 0.5000 0.5000  0.09
Y1 0.4999 0.5000 0.7500  0.08
Cd4 0.5000 0.7555 0.0000  0.00
Cd5 0.0000 0.2444 0.2500  0.00
Pm2 0.0000 0.5000 0.0000  0.09
Cd6 0.5000 0.2445 0.0000  0.00
Y2 0.5001 0.5000 0.2500  0.08
Y3 0.0000 0.0000 0.0000  0.03
Cd7 0.0000 0.7556 0.2500  0.00
Cd8 0.5000 0.7555 0.5000  0.00
Y4 0.0000 0.0000 0.5000  0.03
Y5 0.5001 0.0000 0.7500  0.03
Y6 0.4999 0.0000 0.2500  0.03

Results
Total energy in eV per atom: -3.82
Spin magnetization in μB/atom: 0.059
SG: P4/mmm (123)

In order of appearance, energy of formation from the pure elements = -0.082, 0.052, 0.565, 0.030, -0.093, -0.023, -0.327, -0.062, -0.009, -0.343 eV per atom.